Record 1
# ThZrCd4

A geometry-optimized ThZrCd4 structure (GGA-PBE, Alexandria via LeMat-Bulk).

The calculation puts the density of states at the Fermi level at 0.644 states/eV/atom. As for the formation energy: -0.078 eV per atom.

The structure belongs to space group F-43m (No. 216); the cell edges are 8.2836, 8.2836 and 8.2836 Å and the angles 90.00°, 90.00° and 90.00°. The asymmetric unit holds Th at (0.0000, 0.0000, 0.0000), Zr at (0.2500, 0.2500, 0.2500) and Cd at (0.1244, 0.1244, 0.6244).

Record 2
# Th2ZrCd

A geometry-optimized Th2ZrCd structure (GGA-PBE, Alexandria via LeMat-Bulk).

The calculation puts the density of states at the Fermi level at 1.240 states/eV/atom. As for the formation energy: 0.017 eV per atom.

The structure belongs to space group P4/mmm (No. 123); the cell edges are 4.7840, 4.7840 and 4.8071 Å and the angles 90.00°, 90.00° and 90.00°. The asymmetric unit holds Th at (0.0000, 0.5000, 0.0000), Zr at (0.0000, 0.0000, 0.5000) and Cd at (0.5000, 0.5000, 0.5000).

Record 3
# ThZr2Cd

A geometry-optimized ThZr2Cd structure (GGA-PBE, Alexandria via LeMat-Bulk).

The calculation puts the density of states at the Fermi level at 0.764 states/eV/atom. As for the formation energy: -0.014 eV per atom.

The structure belongs to space group P4/mmm (No. 123); the cell edges are 4.7266, 4.7266 and 4.3999 Å and the angles 90.00°, 90.00° and 90.00°. The asymmetric unit holds Th at (0.0000, 0.0000, 0.0000), Zr at (0.0000, 0.5000, 0.5000) and Cd at (0.5000, 0.5000, 0.0000).

Record 4
# Th2ZrCd

A geometry-optimized Th2ZrCd structure (GGA-PBE, Alexandria via LeMat-Bulk).

The calculation puts the density of states at the Fermi level at 1.624 states/eV/atom. As for the formation energy: 0.268 eV per atom.

The structure belongs to space group R-3m (No. 166, hexagonal axes); the cell edges are 3.3391, 3.3391 and 36.8213 Å and the angles 90.00°, 90.00° and 120.00°. The asymmetric unit holds Th at (0.0000, 0.0000, 0.0908), Zr at (0.0000, 0.0000, 0.5000) and Cd at (0.0000, 0.0000, 0.0000).

Record 5
# Th2ZrCd

A geometry-optimized Th2ZrCd structure (GGA-PBE, Alexandria via LeMat-Bulk).

The calculation puts the density of states at the Fermi level at 1.420 states/eV/atom. As for the formation energy: 0.093 eV per atom.

The structure belongs to space group R3m (No. 160, hexagonal axes); the cell edges are 3.3822, 3.3822 and 34.0613 Å and the angles 90.00°, 90.00° and 120.00°. The asymmetric unit holds Th at (0.0000, 0.0000, 0.0000), Th at (0.0000, 0.0000, 0.1685), Zr at (0.0000, 0.0000, 0.5847) and Cd at (0.0000, 0.0000, 0.7504).

Record 6
# ThZrCd4

A geometry-optimized ThZrCd4 structure (GGA-PBE, Alexandria via LeMat-Bulk).

The calculation puts the density of states at the Fermi level at 0.573 states/eV/atom. As for the formation energy: -0.110 eV per atom.

The structure belongs to space group P6/mmm (No. 191); the cell edges are 5.0430, 5.0430 and 6.4235 Å and the angles 90.00°, 90.00° and 120.00°. The asymmetric unit holds Th at (0.0000, 0.0000, 0.0000), Zr at (0.0000, 0.0000, 0.5000) and Cd at (0.3333, 0.6667, 0.2611).

Record 7
# Th2ZrCd

A geometry-optimized Th2ZrCd structure (GGA-PBE, Alexandria via LeMat-Bulk).

The calculation puts the density of states at the Fermi level at 0.758 states/eV/atom. As for the formation energy: 0.085 eV per atom.

The structure belongs to space group Fm-3m (No. 225); the cell edges are 7.6531, 7.6531 and 7.6531 Å and the angles 90.00°, 90.00° and 90.00°. The asymmetric unit holds Th at (0.2500, 0.2500, 0.2500), Zr at (0.0000, 0.0000, 0.0000) and Cd at (0.0000, 0.0000, 0.5000).

Record 8
# ThZr2Cd

A geometry-optimized ThZr2Cd structure (GGA-PBE, Alexandria via LeMat-Bulk).

The calculation puts the density of states at the Fermi level at 1.272 states/eV/atom. As for the formation energy: 0.063 eV per atom.

The structure belongs to space group R3m (No. 160, hexagonal axes); the cell edges are 3.3219, 3.3219 and 31.5135 Å and the angles 90.00°, 90.00° and 120.00°. The asymmetric unit holds Th at (0.0000, 0.0000, 0.0000), Zr at (0.0000, 0.0000, 0.2462), Zr at (0.0000, 0.0000, 0.4201) and Cd at (0.0000, 0.0000, 0.8331).

no.,distance to the lowest polymorph of the same formula (meV per atom),V (Å³/cell)
1,32,568.4
2,0,110.0
3,0,98.3
4,251,355.5
5,76,337.4
6,0,141.5
7,68,448.2
8,77,301.2